# Na2CrBiF8 (PBE with a Hubbard U, optimized geometry)
data_Na2CrBiF8
_chemical_formula_sum 'Na2 Cr1 Bi1 F8'
_symmetry_space_group_name_H-M 'P 1 2/m 1'
_symmetry_Int_Tables_number 10
_cell_length_a 5.1292
_cell_length_b 6.8547
_cell_length_c 5.1755
_cell_angle_alpha 90.00
_cell_angle_beta 91.32
_cell_angle_gamma 90.00
loop_
_symmetry_equiv_pos_as_xyz
'x,y,z'
'-x,-y,-z'
'-x,y,-z'
'x,-y,z'
loop_
_atom_site_label
_atom_site_type_symbol
_atom_site_fract_x
_atom_site_fract_y
_atom_site_fract_z
Na1 Na 0.0000 0.2315 0.0000
Cr1 Cr 0.5000 0.0000 0.5000
Bi1 Bi 0.5000 0.5000 0.5000
F1 F 0.1900 0.5000 0.1945
F2 F 0.2330 0.0000 0.2342
F3 F 0.3205 0.2173 0.6792
# VASP energy   -5.068 eV per atom